[1]
Sc2TcW GGA-PBE optimized geometry; formation energy = 0.09 eV/atom; uncorrected energy = -8.90 eV/atom; DOS(E_F) = 4.8 states/eV/f.u.; volume = 70.8 Å³/f.u.; SG = Immm, No. 71; magnetization = 0.0 μB per formula unit
1.0
-4.462 -2.308 -2.267
0.482 -5.001 -2.265
0.556 2.990 4.596
W Sc Tc
1 2 1
Direct
0.250 0.750 0.500
0.522 0.522 0.000
0.978 0.978 0.000
0.750 0.250 0.500

---

[2]
Sc3Tc4W2 GGA-PBE optimized geometry; formation energy = -0.19 eV/atom; uncorrected energy = -9.79 eV/atom; DOS(E_F) = 4.2 states/eV/f.u.; volume = 147.4 Å³/f.u.; SG = P-3m1, No. 164; magnetization = 0.0 μB per formula unit
1.0
4.502 0.000 0.001
2.251 3.897 0.145
-0.001 -0.312 8.393
Tc W Sc
4 2 3
Direct
0.000 0.000 0.664
0.667 0.667 0.892
0.000 0.000 0.336
0.333 0.333 0.108
0.333 0.333 0.788
0.667 0.667 0.212
0.667 0.667 0.573
0.333 0.333 0.427
0.000 0.000 0.000

---

[3]
ScTcW2 GGA-PBE optimized geometry; formation energy = 0.29 eV/atom; uncorrected energy = -10.36 eV/atom; DOS(E_F) = 4.4 states/eV/f.u.; volume = 67.1 Å³/f.u.; SG = Cmmm, No. 65; magnetization = 0.0 μB per formula unit
1.0
-1.853 1.797 -4.677
4.166 -3.339 0.177
-1.702 -2.132 -0.145
W Sc Tc
2 1 1
Direct
0.500 0.500 0.000
0.000 0.000 0.000
0.500 0.000 0.500
0.000 0.500 0.500

---

[4]
ScTcW2 GGA-PBE optimized geometry; formation energy = 0.02 eV/atom; uncorrected energy = -10.63 eV/atom; DOS(E_F) = 3.8 states/eV/f.u.; volume = 66.9 Å³/f.u.; SG = P4mm, No. 99; magnetization = 0.0 μB per formula unit
1.0
3.174 0.000 0.000
0.000 3.174 0.000
0.000 0.000 6.643
W Tc Sc
2 1 1
Direct
0.500 0.500 0.231
0.000 0.000 0.995
0.500 0.500 0.770
0.000 0.000 0.504

---

[5]
ScTcW2 GGA-PBE optimized geometry; formation energy = 0.05 eV/atom; uncorrected energy = -10.60 eV/atom; DOS(E_F) = 2.9 states/eV/f.u.; volume = 66.1 Å³/f.u.; SG = Imm2, No. 44; magnetization = 0.0 μB per formula unit
1.0
5.289 0.003 0.006
4.325 3.044 0.006
2.018 0.639 4.113
W Tc Sc
2 1 1
Direct
0.263 0.263 0.237
0.002 0.002 0.998
0.739 0.739 0.760
0.495 0.495 0.505

---

[6]
Sc2TcW GGA-PBE optimized geometry; formation energy = 0.23 eV/atom; uncorrected energy = -8.77 eV/atom; DOS(E_F) = 4.5 states/eV/f.u.; volume = 71.4 Å³/f.u.; SG = Cmmm, No. 65; magnetization = 0.0 μB per formula unit
1.0
5.413 -0.006 0.000
-2.610 4.742 0.000
0.000 0.000 2.785
Sc Tc W
2 1 1
Direct
0.500 0.500 0.000
0.000 0.000 0.000
0.500 0.000 0.500
0.000 0.500 0.500

---

[7]
Sc2TcW GGA-PBE optimized geometry; formation energy = 0.07 eV/atom; uncorrected energy = -8.92 eV/atom; DOS(E_F) = 6.2 states/eV/f.u.; volume = 70.3 Å³/f.u.; SG = I-4m2, No. 119; magnetization = 0.0 μB per formula unit
1.0
-3.562 -2.896 0.615
1.670 -1.158 4.162
-0.787 4.450 -1.019
Sc Tc W
2 1 1
Direct
0.250 0.750 0.500
0.000 0.000 0.000
0.500 0.500 0.000
0.750 0.250 0.500

---

[8]
Sc2Tc2W GGA-PBE optimized geometry; formation energy = 0.00 eV/atom; uncorrected energy = -9.27 eV/atom; DOS(E_F) = 4.5 states/eV/f.u.; volume = 94.0 Å³/f.u.; SG = P4/mbm, No. 127; magnetization = 0.0 μB per formula unit
1.0
6.455 0.000 0.000
0.000 6.455 0.000
0.000 0.000 4.510
Sc Tc W
4 4 2
Direct
0.323 0.177 0.500
0.823 0.323 0.500
0.177 0.677 0.500
0.677 0.823 0.500
0.866 0.634 0.000
0.366 0.866 0.000
0.634 0.134 0.000
0.134 0.366 0.000
0.000 0.000 0.000
0.500 0.500 0.000